Here is a relaxed Hf2CoHg crystal from Alexandria via LeMat-Bulk. Energies are from PBE-GGA.

The energy of formation comes out at -0.11 eV/atom. The value obtained for the total moment is 0.0 μB per formula unit. For the calculated volume, the calculation gives 239.86 Å³ per cell.

The structure belongs to space group R-3m (No. 166, hexagonal axes); the cell edges are 3.4068, 3.4068 and 23.8628 Å and the angles 90.00°, 90.00° and 120.00°. The asymmetric unit holds Hf at (0.0000, 0.0000, 0.2324), Co at (0.0000, 0.0000, 0.5000) and Hg at (0.0000, 0.0000, 0.0000).